Entry 1:
The following is a DFT calculation (PBE-GGA) of crystalline NaTbTlIn at its relaxed geometry.

Unit cell a=5.3250 b=5.3250 c=5.3250 alpha=60.00 beta=60.00 gamma=60.00
Element x y z (fractional)
Tl  0.2500  0.2500  0.2500
Na  0.0000  0.0000  0.0000
In  0.7500  0.7500  0.7500
Tb  0.5000  0.5000  0.5000

## Properties
The calculation puts the energy above the most stable polymorph in this dataset at 27.7 meV/atom. As for the density: 7.79 g/cm³. The formation energy comes out at -1.0 eV per formula unit. Its size of the total moment is 0.000 μB/cell. The total DFT energy (no corrections) is -12.07 eV per cell.

---

Entry 2:
The following is a DFT calculation (PBE-GGA) of crystalline Ba2CoAgN at its relaxed geometry.

Unit cell a=5.8549 b=5.8549 c=3.5815 alpha=90.00 beta=90.00 gamma=90.00
Element x y z (fractional)
N  0.0000  0.0000  0.0000
Ba  0.0000  0.5000  0.0000
Co  0.0000  0.0000  0.5000
Ba  0.5000  0.0000  0.0000
Ag  0.5000  0.5000  0.5000

## Properties
As for the density: 6.16 g/cm³. Its size of the total moment is 0.000 μB/cell. The total DFT energy (no corrections) is -23.75 eV per cell. As for the uncorrected formation energy: -0.3241 eV/atom.

---

Entry 3:
The following is a DFT calculation (PBE-GGA) of crystalline NdY3Mg at its relaxed geometry.

Unit cell a=3.7375 b=6.7870 c=12.8448 alpha=87.12 beta=90.01 gamma=74.02
Element x y z (fractional)
Nd  0.2347  0.5306  0.7560
Y  0.3651  0.2694  0.0240
Y  0.9639  0.0717  0.8130
Y  0.6349  0.7306  0.9760
Mg  0.4451  0.1101  0.3735
Y  0.8537  0.2927  0.5548
Nd  0.7653  0.4694  0.2440
Y  0.0361  0.9283  0.1870
Y  0.1463  0.7073  0.4452
Mg  0.5549  0.8899  0.6265

## Properties
The calculation puts the energy above the most stable polymorph in this dataset at 0.0 meV/atom. As for the density: 4.62 g/cm³. The formation energy comes out at -0.1 eV per formula unit. Its size of the total moment is 0.007 μB/cell. The total DFT energy (no corrections) is -51.76 eV per cell.

---

Entry 4:
The following is a DFT calculation (PBE-GGA) of crystalline SbSeF at its relaxed geometry.

Unit cell a=3.8755 b=6.0000 c=7.8551 alpha=119.40 beta=90.00 gamma=90.00
Element x y z (fractional)
Sb  0.7500  0.1985  0.2937
Se  0.7500  0.6976  0.4128
F  0.7500  0.8002  0.8664
Se  0.2500  0.3024  0.5872
Sb  0.2500  0.8015  0.7063
F  0.2500  0.1998  0.1336

## Properties
The calculation puts the energy above the most stable polymorph in this dataset at 20.6 meV/atom. As for the density: 4.59 g/cm³. Its size of the total moment is 0.000 μB/cell. The total DFT energy (no corrections) is -25.54 eV per cell. As for the uncorrected formation energy: -1.0977 eV/atom.

---

Entry 5:
The following is a DFT calculation (PBE-GGA) of crystalline Al2TlAg at its relaxed geometry.

Unit cell a=2.9786 b=5.2839 c=5.3103 alpha=90.00 beta=90.00 gamma=90.00
Element x y z (fractional)
Al  0.0000  0.0000  0.0000
Tl  0.5000  0.0000  0.5000
Al  0.5000  0.5000  0.0000
Ag  0.0000  0.5000  0.5000

## Properties
As for the density: 7.28 g/cm³. The formation energy comes out at 1.0 eV per formula unit. Its size of the total moment is 0.000 μB/cell. The total DFT energy (no corrections) is -11.69 eV per cell.

---

Entry 6:
The following is a DFT calculation (PBE-GGA) of crystalline Ga5GeRh3 at its relaxed geometry.

Unit cell a=6.9945 b=6.9945 c=9.3699 alpha=61.55 beta=61.55 gamma=80.06
Element x y z (fractional)
Ga  0.7246  0.2754  0.0000
Rh  0.3294  0.3294  0.6614
Ge  0.9116  0.9116  0.3146
Ga  0.9460  0.3965  0.3326
Ga  0.2754  0.7246  0.0000
Rh  0.6706  0.6706  0.3386
Ga  0.2436  0.2436  0.9788
Ga  0.6035  0.0540  0.6674
Rh  0.6667  0.6667  0.8358
Ga  0.0540  0.6035  0.6674
Rh  0.3333  0.3333  0.1642
Rh  0.0000  0.0000  0.5000
Rh  0.0000  0.0000  0.0000
Ga  0.5681  0.5681  0.6593
Ga  0.4319  0.4319  0.3407
Ge  0.0884  0.0884  0.6854
Ga  0.3965  0.9460  0.3326
Ga  0.7564  0.7564  0.0212

## Properties
As for the density: 6.86 g/cm³. The formation energy comes out at -3.2 eV per formula unit. Its size of the total moment is 0.000 μB/cell. The total DFT energy (no corrections) is -89.96 eV per cell.